Here is an optimized crystal structure of TbPr3B2N6 from Alexandria via LeMat-Bulk. Energies are from PBE.

Structure (POSCAR):
```
TbPr3B2N6
1.0
-2.400 -4.516 2.426
-0.708 0.951 -5.535
5.238 -3.464 -1.265
Pr N Tb B
3 6 1 2
Cartesian
2.195 -3.164 -3.719 Pr
-0.066 -3.865 -0.655 Pr
0.000 0.000 0.000 Pr
1.399 -5.594 -2.425 N
0.730 -1.435 -1.949 N
0.415 -1.013 -4.407 N
1.714 -6.016 0.032 N
2.780 -4.011 -1.045 N
-0.651 -3.018 -3.330 N
2.619 -1.732 -0.633 Tb
2.097 -5.295 -1.178 B
0.032 -1.734 -3.196 B
```

Formation energy from raw total energies, kJ/mol of formula units: -1320.4
Total magnetic moment, μB per formula unit: 0.00
Total DFT energy (no corrections), eV/atom: -8.00

Here is an optimized crystal structure of ZnInS2 from Alexandria via LeMat-Bulk. Energies are from PBE.

Structure (POSCAR):
```
ZnInS2
1.0
-1.015 -5.173 -2.702
3.419 1.696 -4.531
5.784 -4.001 -1.006
S Zn In
4 2 2
Cartesian
1.286 -3.785 -2.383 S
6.285 -6.121 -6.877 S
3.410 -0.823 -3.545 S
5.396 -4.227 -3.675 S
5.203 -2.021 -4.577 Zn
1.202 -1.738 -3.617 Zn
2.986 -5.456 -3.663 In
0.000 0.000 0.000 In
```

Formation energy from raw total energies, kJ/mol of formula units: -180.1
Total magnetic moment, μB per formula unit: 0.00
Total DFT energy (no corrections), eV/atom: -3.53

Here is an optimized crystal structure of NbVPd3 from Alexandria via LeMat-Bulk. Energies are from PBE.

Structure (POSCAR):
```
NbVPd3
1.0
-1.067 4.046 1.834
-3.913 -1.749 1.583
2.104 -1.201 3.873
V Pd Nb
1 3 1
Cartesian
0.000 0.000 0.000 V
-0.533 2.023 0.917 Pd
1.052 -0.601 1.937 Pd
-1.956 -0.875 0.792 Pd
-1.437 0.548 3.645 Nb
```

Distance to the lowest polymorph of the same formula, eV/atom: 1.025
Total magnetic moment, μB per formula unit: 1.24
Total DFT energy (no corrections), eV/atom: -6.12

Short version: DOS(E_F) = 0.317, 1.955, 4.836 states/eV/f.u., in the order given.